# 1
Here is a relaxed Pm2BeGe crystal from Alexandria via LeMat-Bulk. Energies are from GGA-PBE.

abc: 5.0550 5.0550 5.0550
angles: 60.00 60.00 60.00
Closest atoms and distances in Å follow each position.
Fractional positions:
Pm 0.7500 0.7500 0.7500  4 Ge 3.10, 4 Be 3.10
Pm 0.2500 0.2500 0.2500  4 Ge 3.10, 4 Be 3.10
Ge 0.5000 0.5000 0.5000  8 Pm 3.10
Be 0.0000 0.0000 0.0000  8 Pm 3.10

Output
space-group type	Fm-3m, No. 225
density of states at the Fermi level	1.23	states/eV/cell
energy above the lowest structure with this stoichiometry	0	kJ/mol of formula units

---

# 2
Here is a relaxed NaZrCoCu2 crystal from Alexandria via LeMat-Bulk. Energies are from GGA-PBE.

abc: 4.7141 4.4299 4.7141
angles: 90.00 90.00 90.00
Closest atoms and distances in Å follow each position.
Fractional positions:
Zr 0.0000 0.5000 0.0000  2 Co 2.21
Co 0.0000 0.0000 0.0000  2 Zr 2.21, 4 Cu 2.36
Cu 0.5000 0.0000 0.0000  2 Co 2.36
Cu 0.0000 0.0000 0.5000  2 Co 2.36
Na 0.5000 0.5000 0.5000  8 Cu 3.23, 4 Zr 3.33

Output
space-group type	P4/mmm, No. 123
density of states at the Fermi level	3.09	states/eV/cell

---

| no. | E_form (eV per atom) |
| --- | --- |
| 1 | -0.26 |
| 2 | 0.48 |